Record 1
An optimized crystal structure of SrSm2Pd. Source: the Alexandria database, functional PBE.

Lattice parameters (Å, degrees): 4.0985 4.0985 11.1167 79.38 79.38 60.00
Positions (direct):
Sm1 0.8819 0.8819 0.3542
Sm2 0.1181 0.1181 0.6458
Sr1 0.0000 0.0000 0.0000
Pd1 0.5000 0.5000 0.5000

Computed properties:
- calculated volume (Å³/atom) = 39.503
- M_tot (μB/f.u.) = 0.00
- energy above the most stable polymorph in this dataset (meV/atom) = 131
- electronic total energy (eV per atom) = -4.23
- SG = No. 166

***

Record 2
An optimized crystal structure of Ho2BRu3. Source: the Alexandria database, functional PBE.

Lattice parameters (Å, degrees): 3.1802 4.9477 7.1447 110.26 102.86 90.00
Positions (direct):
Ho1 0.3132 0.8132 0.6265
Ho2 0.6868 0.1868 0.3735
Ru1 0.0000 0.0000 0.0000
Ru2 0.6073 0.6073 0.2146
Ru3 0.3927 0.3927 0.7854
B1 0.0000 0.5000 0.0000

Computed properties:
- calculated volume (Å³/atom) = 17.076
- M_tot (μB/f.u.) = 0.16
- electronic total energy (eV per atom) = -7.24
- SG = No. 71

***

Record 3
An optimized crystal structure of Pm2CoOs. Source: the Alexandria database, functional PBE.

Lattice parameters (Å, degrees): 3.4737 3.4737 6.9525 90.00 90.00 90.00
Positions (direct):
Co1 0.5000 0.5000 0.5000
Pm1 0.0000 0.0000 0.2506
Pm2 0.0000 0.0000 0.7494
Os1 0.5000 0.5000 0.0000

Computed properties:
- calculated volume (Å³/atom) = 20.974
- M_tot (μB/f.u.) = 0.60
- energy above the most stable polymorph in this dataset (meV/atom) = 165
- electronic total energy (eV per atom) = -6.88
- SG = No. 123

***

Record 4
An optimized crystal structure of LaErPu. Source: the Alexandria database, functional PBE.

Lattice parameters (Å, degrees): 3.5667 3.5667 8.6072 90.00 90.00 120.00
Positions (direct):
Pu1 0.6667 0.3333 0.3373
La1 0.0000 0.0000 0.0046
Er1 0.3333 0.6667 0.6581

Computed properties:
- calculated volume (Å³/atom) = 31.608
- M_tot (μB/f.u.) = 6.25
- energy above the most stable polymorph in this dataset (meV/atom) = 15
- electronic total energy (eV per atom) = -7.80
- SG = No. 156

***

Record 5
An optimized crystal structure of PrY4Ho8. Source: the Alexandria database, functional PBE.

Lattice parameters (Å, degrees): 7.3189 7.3189 9.9412 90.00 111.60 120.00
Positions (direct):
Ho1 0.4371 0.2185 0.6556
Ho2 0.0574 0.8080 0.3069
Ho3 0.0574 0.2494 0.3069
Ho4 0.5629 0.7815 0.3444
Ho5 0.5011 0.7506 0.6931
Ho6 0.4989 0.2494 0.3069
Ho7 0.9426 0.7506 0.6931
Ho8 0.9426 0.1920 0.6931
Y1 0.5000 0.5000 0.0000
Y2 0.5000 0.0000 0.0000
Y3 0.0000 0.0000 0.0000
Y4 0.0000 0.5000 0.0000
Pr1 0.0000 0.5000 0.5000

Computed properties:
- calculated volume (Å³/atom) = 32.110
- M_tot (μB/f.u.) = 0.00
- electronic total energy (eV per atom) = -4.98
- SG = No. 166

***

Record 6
An optimized crystal structure of AlInPb2. Source: the Alexandria database, functional PBE.

Lattice parameters (Å, degrees): 3.4821 4.1519 7.6295 90.00 90.00 90.00
Positions (direct):
In1 0.5000 0.5000 0.7500
Pb1 0.0000 0.0000 0.0278
Pb2 0.0000 0.0000 0.4722
Al1 0.5000 0.5000 0.2500

Computed properties:
- calculated volume (Å³/atom) = 27.575
- M_tot (μB/f.u.) = 0.00
- energy above the most stable polymorph in this dataset (meV/atom) = 17
- electronic total energy (eV per atom) = -3.33
- SG = No. 47

***

| no. | energy of formation from the pure elements (eV/f.u.) |
| --- | --- |
| 1 | -0.6 |
| 2 | 0.2 |
| 3 | 0.3 |
| 4 | 0.4 |
| 5 | 2.5 |
| 6 | 0.6 |